Entry from Alexandria: a relaxed structure of K3CoPd3O8 (PBE+U).

It has space group C2/m (No. 12), with a = 11.0919 Å, b = 6.2317 Å, c = 7.0285 Å, α = 90.00°, β = 120.46° and γ = 90.00°. Symmetry generates all atoms from K at (0.0000, 0.0000, 0.0000), K at (0.2500, 0.2500, 0.0000), Co at (0.0000, 0.0000, 0.5000), Pd at (0.0000, 0.5000, 0.5000), Pd at (0.2500, 0.2500, 0.5000), O at (0.0276, 0.2398, 0.3398), O at (0.2044, 0.0000, 0.6675) and O at (0.2404, 0.5000, 0.6788).

The total energy is -5.06 eV/atom.